# 1
A geometry-optimized V2SnGeAs structure. Source: Alexandria, functional PBE-GGA.

Properties
VASP energy   -4.90 eV per atom
DOS at the Fermi energy   2.447 states/eV/atom
Formation energy   1.399 eV/atom
Total magnetic moment   5.6 μB/f.u.

a b c (Å): 5.0822 5.0822 5.1728
angles (deg): 90.00 90.00 90.00
Last column: nearest neighbours and their distance in Å.
Space group P4/mmm (No. 123)
Inequivalent atoms, fractional coordinates:
V 0.0000 0.5000 0.0000  2 Sn 2.54
Sn 0.0000 0.0000 0.0000  4 V 2.54, 2 As 2.59
Ge 0.5000 0.5000 0.5000  4 As 3.59, 8 V 3.63
As 0.0000 0.0000 0.5000  2 Sn 2.59



# 2
A geometry-optimized La3SnP structure. Source: Alexandria, functional PBE-GGA.

Properties
E above lowest polymorph   0 meV/atom
VASP energy   -5.85 eV per atom
DOS at the Fermi energy   0.755 states/eV/atom
Formation energy   -1.006 eV/atom
Total magnetic moment   0.2 μB/f.u.

a b c (Å): 8.7752 4.5096 15.6627
angles (deg): 90.00 90.00 90.00
Last column: nearest neighbours and their distance in Å.
Space group Pnma (No. 62)
Inequivalent atoms, fractional coordinates:
La 0.0223 0.2500 0.1082  3 P 2.91-2.95
La 0.1487 0.2500 0.5117  2 P 2.95
La 0.1806 0.7500 0.2828  1 P 2.81
Sn 0.0966 0.7500 0.6752  9 La 3.38-3.63
P 0.1738 0.2500 0.9426  6 La 2.81-2.95



# 3
A geometry-optimized ZnPb3W structure. Source: Alexandria, functional PBE-GGA.

Properties
E above lowest polymorph   0 meV/atom
VASP energy   -4.42 eV per atom
DOS at the Fermi energy   0.939 states/eV/atom
Formation energy   0.649 eV/atom
Total magnetic moment   0.0 μB/f.u.

a b c (Å): 5.4294 5.4294 5.4294
angles (deg): 90.00 90.00 90.00
Last column: nearest neighbours and their distance in Å.
Space group Pm-3m (No. 221)
Inequivalent atoms, fractional coordinates:
Zn 0.0000 0.0000 0.0000  12 Pb 3.84
Pb 0.0000 0.5000 0.5000  2 W 2.71
W 0.5000 0.5000 0.5000  6 Pb 2.71



# 4
A geometry-optimized Cs2YVS4 structure. Source: Alexandria, functional PBE-GGA.

Properties
Formation energy from raw total energies   -1264 meV per atom
VASP energy   -5.49 eV per atom
DOS at the Fermi energy   0.452 states/eV/atom
Total magnetic moment   2.0 μB/f.u.

a b c (Å): 6.3614 14.6380 25.7029
angles (deg): 90.00 90.00 90.00
Last column: nearest neighbours and their distance in Å.
Space group Fddd (No. 70, origin choice 2)
Inequivalent atoms, fractional coordinates:
Cs 0.1250 0.1250 0.3041  8 S 3.78-4.13
Y 0.1250 0.1250 0.1250  4 S 2.59
V 0.1250 0.1250 0.6250  4 S 2.31
S 0.0908 0.2807 0.8268  1 V 2.31



# 5
A geometry-optimized CdNi2W structure. Source: Alexandria, functional PBE-GGA.

Properties
VASP energy   -6.31 eV per atom
DOS at the Fermi energy   0.739 states/eV/atom
Formation energy   0.050 eV/atom
Total magnetic moment   0.0 μB/f.u.

a b c (Å): 2.7628 2.7628 7.5199
angles (deg): 90.00 90.00 90.00
Last column: nearest neighbours and their distance in Å.
Space group P4/mmm (No. 123)
Inequivalent atoms, fractional coordinates:
Cd 0.0000 0.0000 0.0000  4 Cd 2.76, 8 Ni 2.81
Ni 0.5000 0.5000 0.2680  4 W 2.62, 4 Ni 2.76, 4 Cd 2.81
W 0.0000 0.0000 0.5000  8 Ni 2.62, 4 W 2.76



# 6
A geometry-optimized Sm11In9Ir4 structure. Source: Alexandria, functional PBE-GGA.

Properties
VASP energy   -5.29 eV per atom
DOS at the Fermi energy   0.559 states/eV/atom
Formation energy   -0.625 eV/atom
Total magnetic moment   0.0 μB/f.u.

a b c (Å): 14.7786 22.0731 3.8071
angles (deg): 90.00 90.00 90.00
Last column: nearest neighbours and their distance in Å.
Space group Cmmm (No. 65)
Inequivalent atoms, fractional coordinates:
Sm 0.0000 0.0000 0.0000  8 In 3.28, 2 Sm 3.60
Sm 0.0000 0.1632 0.0000  8 In 3.30-3.53, 3 Sm 3.60-3.66
Sm 0.0000 0.3743 0.0000  4 Ir 3.00
Sm 0.1881 0.5000 0.0000  4 Ir 2.98
Sm 0.2473 0.1692 0.0000  2 Ir 2.84
In 0.0000 0.5000 0.5000  4 Ir 3.17, 8 Sm 3.37
In 0.1044 0.2636 0.5000  1 Ir 3.07, 1 In 3.08, 4 Sm 3.26-3.30
In 0.1465 0.0710 0.5000  1 Ir 3.04, 1 In 3.14, 4 Sm 3.25-3.28
Ir 0.1527 0.3989 0.5000  6 Sm 2.84-3.00, 3 In 3.04-3.17